Entry 1:
A plane-wave DFT calculation with GGA-PBE was carried out for a relaxed LaNi4Ge crystal.

Summary:
ΔH_f (0 K) (meV/atom): -246
Fermi-level density of states (states/eV per atom): 1.050
E above lowest polymorph (eV/atom): 0.029
Spin magnetization (μB/f.u.): 0.00
Raw total energy (eV per atom): -5.6908
V (Å³ per atom): 14.85

Unit cell a=5.0130 b=5.0130 c=5.0130 alpha=60.00 beta=60.00 gamma=60.00
Closest atoms and distances in Å follow each position.
Fractional positions:
La  0.0000  0.0000  0.0000  12 Ni 2.94, 4 Ge 3.07
Ni  0.1296  0.6235  0.6235  6 Ni 2.48-2.54
Ni  0.6235  0.1296  0.6235  6 Ni 2.48-2.54
Ni  0.6235  0.6235  0.1296  6 Ni 2.48-2.54
Ni  0.6235  0.6235  0.6235  6 Ni 2.48-2.54
Ge  0.2500  0.2500  0.2500  12 Ni 2.94, 4 La 3.07



Entry 2:
A plane-wave DFT calculation with GGA-PBE was carried out for a relaxed Li5B8C8 crystal.

Summary:
ΔH_f (0 K) (meV/atom): -137
Fermi-level density of states (states/eV per atom): 0.207
E above lowest polymorph (eV/atom): 0.008
Spin magnetization (μB/f.u.): 0.00
Raw total energy (eV per atom): -6.6499
V (Å³ per atom): 8.88

Unit cell a=7.8186 b=7.8186 c=9.4125 alpha=107.54 beta=107.54 gamma=19.90
Closest atoms and distances in Å follow each position.
Fractional positions:
Li  0.0000  0.0000  0.0000  6 B 2.34-2.47, 6 C 2.35-2.54
Li  0.2467  0.2467  0.6572  6 C 2.32-2.44, 6 B 2.35-2.44
Li  0.2545  0.2545  0.1173  6 C 2.33-2.58, 6 B 2.37-2.52
Li  0.5014  0.5014  0.2883  6 C 2.31-2.51, 6 B 2.36-2.58
Li  0.7494  0.7494  0.3888  6 C 2.30-2.40, 6 B 2.35-2.40
B  0.1237  0.1237  0.9043  3 C 1.53-1.58
B  0.1298  0.1298  0.4135  3 C 1.56-1.58
B  0.3714  0.3714  0.3715  3 C 1.55-1.58
B  0.3736  0.3736  0.8729  3 C 1.56-1.57
B  0.6183  0.6183  0.6541  3 C 1.55-1.57
B  0.6272  0.6272  0.1599  3 C 1.56-1.57
B  0.8699  0.8699  0.6214  3 C 1.55-1.58
B  0.8833  0.8833  0.1247  3 C 1.56-1.57
C  0.1193  0.1193  0.7397  3 B 1.53-1.57
C  0.1286  0.1286  0.2454  3 B 1.57-1.58
C  0.3642  0.3642  0.5321  3 B 1.55-1.58
C  0.3860  0.3860  0.0434  3 B 1.56
C  0.6258  0.6258  0.9931  3 B 1.56-1.58
C  0.6293  0.6293  0.4958  3 B 1.55-1.56
C  0.8699  0.8699  0.7858  3 B 1.55-1.57
C  0.8742  0.8742  0.2867  3 B 1.57-1.58



Entry 3:
A plane-wave DFT calculation with GGA-PBE was carried out for a relaxed Na8TlPb2 crystal.

Summary:
ΔH_f (0 K) (meV/atom): -55
Fermi-level density of states (states/eV per atom): 0.339
Spin magnetization (μB/f.u.): 0.00
Raw total energy (eV per atom): -1.9032
V (Å³ per atom): 31.07

Unit cell a=9.5247 b=9.5247 c=5.7796 alpha=107.28 beta=107.28 gamma=123.32
Closest atoms and distances in Å follow each position.
Fractional positions:
Na  0.0940  0.3796  0.7121  5 Na 3.23-3.56, 2 Pb 3.34-3.46
Na  0.1971  0.8029  0.0000  6 Na 3.27-3.56, 1 Tl 3.30, 4 Pb 3.54-3.58
Na  0.3796  0.0940  0.7121  5 Na 3.23-3.56, 2 Pb 3.34-3.46
Na  0.4167  0.4167  0.1908  3 Na 2.88-3.23, 1 Tl 3.20
Na  0.5833  0.5833  0.8092  3 Na 2.88-3.23, 1 Tl 3.20
Na  0.6204  0.9060  0.2879  5 Na 3.23-3.56, 2 Pb 3.34-3.46
Na  0.8029  0.1971  0.0000  6 Na 3.27-3.56, 1 Tl 3.30, 4 Pb 3.54-3.58
Na  0.9060  0.6204  0.2879  5 Na 3.23-3.56, 2 Pb 3.34-3.46
Tl  0.0000  0.0000  0.0000  4 Na 3.20-3.30
Pb  0.3235  0.6765  0.5000  12 Na 3.29-3.63
Pb  0.6765  0.3235  0.5000  12 Na 3.29-3.63



Entry 4:
A plane-wave DFT calculation with GGA-PBE was carried out for a relaxed PrY2Hg4 crystal.

Summary:
ΔH_f (0 K) (meV/atom): -326
Fermi-level density of states (states/eV per atom): 0.707
Spin magnetization (μB/f.u.): 0.34
Raw total energy (eV per atom): -3.0277
V (Å³ per atom): 28.83

Unit cell a=5.2693 b=5.2693 c=7.2691 alpha=90.00 beta=90.00 gamma=90.00
Closest atoms and distances in Å follow each position.
Fractional positions:
Pr  0.0000  0.0000  0.0000  8 Hg 3.29, 2 Y 3.63
Y  0.0000  0.0000  0.5000  8 Hg 3.12
Y  0.5000  0.5000  0.0000  8 Hg 3.29
Hg  0.0000  0.5000  0.2700  4 Y 3.12-3.29, 2 Pr 3.29, 1 Hg 3.34
Hg  0.0000  0.5000  0.7300  4 Y 3.12-3.29, 2 Pr 3.29, 1 Hg 3.34
Hg  0.5000  0.0000  0.2700  4 Y 3.12-3.29, 2 Pr 3.29, 1 Hg 3.34
Hg  0.5000  0.0000  0.7300  4 Y 3.12-3.29, 2 Pr 3.29, 1 Hg 3.34



Entry 5:
A plane-wave DFT calculation with GGA-PBE was carried out for a relaxed Cd5Bi crystal.

Summary:
ΔH_f (0 K) (meV/atom): 39
Fermi-level density of states (states/eV per atom): 0.333
Spin magnetization (μB/f.u.): 0.00
Raw total energy (eV per atom): -1.3709
V (Å³ per atom): 24.88

Unit cell a=5.4041 b=5.4041 c=7.1052 alpha=108.24 beta=108.24 gamma=50.06
Closest atoms and distances in Å follow each position.
Fractional positions:
Cd  0.0000  0.0000  0.0000  10 Cd 2.98-3.27
Cd  0.3246  0.3246  0.1556  8 Cd 2.98-3.27
Cd  0.3448  0.3448  0.6947  6 Cd 3.04-3.35, 3 Bi 3.18-3.30
Cd  0.6552  0.6552  0.3053  6 Cd 3.04-3.35, 3 Bi 3.18-3.30
Cd  0.6754  0.6754  0.8444  8 Cd 2.98-3.27
Bi  0.0000  0.0000  0.5000  12 Cd 3.18-3.55



Entry 6:
A plane-wave DFT calculation with GGA-PBE was carried out for a relaxed LaSnI2O crystal.

Summary:
Fermi-level density of states (states/eV per atom): 0.875
E above lowest polymorph (eV/atom): 0.000
Spin magnetization (μB/f.u.): 0.00
Raw total energy (eV per atom): -4.6203
ΔE_f (raw) (meV/atom): -1223
V (Å³ per atom): 37.18

Unit cell a=6.5837 b=6.5837 c=4.2884 alpha=90.00 beta=90.00 gamma=90.00
Closest atoms and distances in Å follow each position.
Fractional positions:
La  0.0000  0.0000  0.0000  2 O 2.14
Sn  0.5000  0.5000  0.5000  8 I 3.93, 2 Sn 4.29
I  0.0000  0.5000  0.0000  2 La 3.29
I  0.5000  0.0000  0.0000  2 La 3.29
O  0.0000  0.0000  0.5000  2 La 2.14